No. 1
VASP calculation (PBEsol) on MgIrCl2 after structural relaxation.

Values from the calculation:
Excess energy over the best structure of this formula in the dataset   1.4 kJ per mole of atoms
Final energy   -16.57 eV for the cell shown
Space group   Cmm2

a = 3.1836 Å, b = 3.1836 Å, c = 8.7488 Å
α = 90.00°, β = 90.00°, γ = 118.91°
Sites, in units of the cell vectors:
Mg  0.5000  0.5000  0.2494
Cl  0.0000  0.0000  0.0570
Cl  0.5000  0.5000  0.6908
Ir  0.0000  0.0000  0.5029


No. 2
VASP calculation (PBEsol) on MgIrCl2 after structural relaxation.

Values from the calculation:
Excess energy over the best structure of this formula in the dataset   0.0 kJ per mole of atoms
Final energy   -16.63 eV for the cell shown
Space group   Cm

a = 3.0155 Å, b = 3.8567 Å, c = 7.2183 Å
α = 105.38°, β = 102.06°, γ = 90.00°
Sites, in units of the cell vectors:
Cl  0.7712  0.2706  0.5425
Mg  0.1889  0.6869  0.3778
Cl  0.0104  0.0117  0.0207
Ir  0.5295  0.5308  0.0590


No. 3
VASP calculation (PBEsol) on MgIrCl after structural relaxation.

Values from the calculation:
Final energy   -13.70 eV for the cell shown
Space group   Fmm2

a = 2.8859 Å, b = 2.8859 Å, c = 7.0485 Å
α = 96.68°, β = 96.68°, γ = 115.60°
Sites, in units of the cell vectors:
Cl  0.9688  0.9688  0.9377
Ir  0.6904  0.6904  0.3809
Mg  0.3407  0.3407  0.6815


No. 4
VASP calculation (PBEsol) on MgIrSCl2 after structural relaxation.

Values from the calculation:
Final energy   -17.64 eV for the cell shown
Space group   P4/mmm

a = 4.4915 Å, b = 4.4915 Å, c = 5.0807 Å
α = 90.00°, β = 90.00°, γ = 90.00°
Each line ends with the local moment (μB).
Sites, in units of the cell vectors:
Cl  0.0000  0.5000  0.0000  0.11
Cl  0.5000  0.0000  0.0000  0.11
Ir  0.5000  0.5000  0.5000  1.91
S  0.0000  0.0000  0.5000  0.06
Mg  0.0000  0.0000  0.0000  0.00


No. 5
VASP calculation (PBEsol) on MnIr2Cl after structural relaxation.

Values from the calculation:
Excess energy over the best structure of this formula in the dataset   42.7 kJ per mole of atoms
Final energy   -28.28 eV for the cell shown
Space group   F-43m

a = 4.3400 Å, b = 4.3407 Å, c = 4.3400 Å
α = 120.00°, β = 90.00°, γ = 120.00°
Each line ends with the local moment (μB).
Sites, in units of the cell vectors:
Ir  0.7500  0.5000  0.2500  -0.44
Mn  0.5000  0.0000  0.5000  3.24
Cl  0.2500  0.5000  0.7500  -0.02
Ir  0.0000  0.0000  0.0000  -0.49


No. 6
VASP calculation (PBEsol) on MnIrCl after structural relaxation.

Values from the calculation:
Excess energy over the best structure of this formula in the dataset   60.9 kJ per mole of atoms
Final energy   -19.15 eV for the cell shown
Space group   F-43m

a = 4.1835 Å, b = 4.1835 Å, c = 4.1835 Å
α = 60.00°, β = 60.00°, γ = 60.00°
Each line ends with the local moment (μB).
Sites, in units of the cell vectors:
Ir  0.2500  0.2500  0.2500  -0.10
Mn  0.0000  0.0000  0.0000  3.55
Cl  0.5000  0.5000  0.5000  -0.01


No. 7
VASP calculation (PBEsol) on MnIrCl2 after structural relaxation.

Values from the calculation:
Excess energy over the best structure of this formula in the dataset   0.0 kJ per mole of atoms
Final energy   -23.58 eV for the cell shown
Space group   Pm

a = 3.3262 Å, b = 3.4472 Å, c = 6.8846 Å
α = 90.00°, β = 98.95°, γ = 90.00°
Each line ends with the local moment (μB).
Sites, in units of the cell vectors:
Cl  0.9595  0.0000  0.9091  0.06
Mn  0.2531  0.5000  0.6999  3.71
Cl  0.5766  0.5000  0.3211  -0.04
Ir  0.7108  0.0000  0.5699  -0.01


No. 8
VASP calculation (PBEsol) on MnIr2Cl after structural relaxation.

Values from the calculation:
Excess energy over the best structure of this formula in the dataset   0.0 kJ per mole of atoms
Final energy   -30.05 eV for the cell shown
Space group   Pmm2

a = 2.8039 Å, b = 3.5186 Å, c = 6.4277 Å
α = 90.00°, β = 90.00°, γ = 90.00°
Each line ends with the local moment (μB).
Sites, in units of the cell vectors:
Mn  0.5000  0.0000  0.5355  3.63
Ir  0.5000  0.0000  0.9573  0.03
Ir  0.0000  0.5000  0.7605  -0.02
Cl  0.5000  0.5000  0.2467  0.01


No. 9
VASP calculation (PBEsol) on MnIr2Cl after structural relaxation.

Values from the calculation:
Excess energy over the best structure of this formula in the dataset   52.6 kJ per mole of atoms
Final energy   -27.86 eV for the cell shown
Space group   Fm-3m

a = 4.3062 Å, b = 4.3062 Å, c = 4.3062 Å
α = 60.00°, β = 60.00°, γ = 60.00°
Each line ends with the local moment (μB).
Sites, in units of the cell vectors:
Ir  0.7500  0.7500  0.7500  0.12
Cl  0.0000  0.0000  0.0000  -0.05
Mn  0.5000  0.5000  0.5000  3.11
Ir  0.2500  0.2500  0.2500  0.12


No. 10
VASP calculation (PBEsol) on MnIrCl after structural relaxation.

Values from the calculation:
Excess energy over the best structure of this formula in the dataset   14.4 kJ per mole of atoms
Final energy   -20.59 eV for the cell shown
Space group   I4mm

a = 2.7792 Å, b = 2.7792 Å, c = 6.2968 Å
α = 102.75°, β = 102.75°, γ = 90.00°
Each line ends with the local moment (μB).
Sites, in units of the cell vectors:
Mn  0.3335  0.3335  0.6669  2.40
Ir  0.7024  0.7024  0.4048  -0.21
Cl  0.9641  0.9641  0.9282  0.03


No. 11
VASP calculation (PBEsol) on MnIrCl2 after structural relaxation.

Values from the calculation:
Excess energy over the best structure of this formula in the dataset   37.3 kJ per mole of atoms
Final energy   -22.03 eV for the cell shown
Space group   C2/m

a = 3.2037 Å, b = 4.9763 Å, c = 4.9763 Å
α = 108.56°, β = 107.36°, γ = 107.36°
Each line ends with the local moment (μB).
Sites, in units of the cell vectors:
Mn  0.0000  0.5000  0.5000  4.06
Cl  0.0000  0.0000  0.5000  0.05
Cl  0.0000  0.5000  0.0000  0.05
Ir  0.0000  0.0000  0.0000  0.20


No. 12
VASP calculation (PBEsol) on MnIr2Cl after structural relaxation.

Values from the calculation:
Excess energy over the best structure of this formula in the dataset   11.5 kJ per mole of atoms
Final energy   -29.57 eV for the cell shown
Space group   Cmmm

a = 2.7535 Å, b = 2.7618 Å, c = 8.8426 Å
α = 90.00°, β = 90.00°, γ = 119.90°
Each line ends with the local moment (μB).
Sites, in units of the cell vectors:
Mn  0.5000  0.0000  0.5000  2.97
Ir  0.0000  0.0000  0.7311  0.15
Ir  0.0000  0.0000  0.2689  0.15
Cl  0.5000  0.0000  0.0000  -0.05


no.,uncorrected formation energy (eV per formula unit),mass density (g/cm3)
1,-1.02,6.15
2,-1.07,6.04
3,-0.15,8.10
4,2.30,5.18
5,3.14,13.64
6,2.44,9.06
7,0.02,6.77
8,1.37,12.43
9,3.55,13.96
10,1.00,10.16
11,1.57,8.17
12,1.85,13.53